[1]
Here is a geometry-optimized Li5Sb4 structure from Alexandria via LeMat-Bulk. Energies are from PBE-GGA.

Lattice parameters (Å, degrees): 6.9176 6.9176 6.9176 95.80 95.80 142.91
Last column: nearest neighbours and their distance in Å.
Fractional coordinates of all 9 atoms:
1 Li 0.0000 0.0000 0.0000  4 Sb 2.72
2 Li 0.3276 0.3276 0.6552  6 Sb 2.94-3.06, 6 Li 3.00-3.20
3 Li 0.3276 0.6724 0.0000  6 Sb 2.94-3.06, 6 Li 3.00-3.20
4 Li 0.6724 0.3276 0.0000  6 Sb 2.94-3.06, 6 Li 3.00-3.20
5 Li 0.6724 0.6724 0.3448  6 Sb 2.94-3.06, 6 Li 3.00-3.20
6 Sb 0.0000 0.2930 0.2930  5 Li 2.72-2.94
7 Sb 0.0000 0.7070 0.7070  5 Li 2.72-2.94
8 Sb 0.2930 0.0000 0.2930  5 Li 2.72-2.94
9 Sb 0.7070 0.0000 0.7070  5 Li 2.72-2.94

For the total DFT energy (no corrections), the calculation gives -3.157 eV per atom. Its space group is I4/mmm. The density of states at the Fermi level comes out at 4.6 states/eV/f.u.

[2]
Here is a geometry-optimized Li2Sb structure from Alexandria via LeMat-Bulk. Energies are from PBE-GGA.

Lattice parameters (Å, degrees): 4.8413 4.8413 3.3169 109.88 109.88 59.76
Last column: nearest neighbours and their distance in Å.
Fractional coordinates of all 3 atoms:
1 Li 0.1951 0.1951 0.1969  4 Sb 2.84-2.88, 5 Li 3.01-3.05
2 Li 0.8049 0.8049 0.8031  4 Sb 2.84-2.88, 5 Li 3.01-3.05
3 Sb 0.5000 0.5000 0.0000  8 Li 2.84-2.88

For the total DFT energy (no corrections), the calculation gives -3.178 eV per atom. Its space group is C2/m. The density of states at the Fermi level comes out at 1.6 states/eV/f.u.

Energy relative to the elements, uncorrected (computed, eV per atom): -0.262, -0.528